(1)
Below is a relaxed structure of Tb8Nd4Mg, with properties calculated at the PBE-GGA level.

Fermi-level density of states (states/eV per cell): 20.5
DFT formation energy (eV/atom): 0.54
Mass density (g cm⁻³): 6.6

Cell and atoms, written as POSCAR:
```
Tb8Nd4Mg
1.0
5.516 3.185 4.494
-5.516 3.185 4.494
0.000 -6.370 4.494
Tb Nd Mg
8 4 1
direct
0.243 0.243 0.243
0.243 0.243 0.757
0.243 0.757 0.243
0.243 0.757 0.757
0.757 0.243 0.243
0.757 0.243 0.757
0.757 0.757 0.243
0.757 0.757 0.757
0.000 0.000 0.000
0.000 0.500 0.500
0.500 0.000 0.500
0.500 0.500 0.000
0.500 0.500 0.500
```

***

(2)
Below is a relaxed structure of Tb7Nd3Mg, with properties calculated at the PBE-GGA level.

Fermi-level density of states (states/eV per cell): 15.9
DFT formation energy (eV/atom): 0.18
Mass density (g cm⁻³): 7.0

Cell and atoms, written as POSCAR:
```
Tb7Nd3Mg
1.0
7.048 0.000 0.000
-3.524 6.104 0.000
0.000 0.000 8.667
Tb Nd Mg
7 3 1
direct
0.000 0.000 0.000
0.000 0.500 0.996
0.164 0.328 0.674
0.164 0.836 0.674
0.500 0.000 0.996
0.500 0.500 0.996
0.672 0.836 0.674
0.331 0.165 0.333
0.835 0.165 0.333
0.835 0.669 0.333
0.667 0.333 0.676
```

***

(3)
Below is a relaxed structure of TbNd4Mg, with properties calculated at the PBE-GGA level.

Fermi-level density of states (states/eV per cell): 7.2
DFT formation energy (eV/atom): -0.02
ΔE to the lowest computed polymorph (eV/atom): 0.0000
Mass density (g cm⁻³): 6.4

Cell and atoms, written as POSCAR:
```
TbNd4Mg
1.0
3.682 0.000 0.000
0.000 3.682 0.000
0.000 0.000 14.539
Tb Nd Mg
1 4 1
direct
0.000 0.000 0.000
0.000 0.000 0.349
0.000 0.000 0.651
0.500 0.500 0.174
0.500 0.500 0.826
0.500 0.500 0.500
```

***

(4)
Below is a relaxed structure of Tb3Nd4Mg, with properties calculated at the PBE-GGA level.

Fermi-level density of states (states/eV per cell): 21.5
DFT formation energy (eV/atom): 0.00
ΔE to the lowest computed polymorph (eV/atom): 0.0130
Mass density (g cm⁻³): 6.8

Cell and atoms, written as POSCAR:
```
Tb3Nd4Mg
1.0
11.477 0.000 0.000
0.000 7.264 0.000
0.000 0.000 6.283
Tb Nd Mg
6 8 2
direct
0.000 0.119 0.000
0.242 0.874 0.173
0.258 0.126 0.673
0.500 0.881 0.500
0.742 0.126 0.673
0.758 0.874 0.173
0.000 0.371 0.526
0.000 0.874 0.521
0.242 0.378 0.180
0.258 0.622 0.680
0.500 0.126 0.021
0.500 0.629 0.026
0.742 0.622 0.680
0.758 0.378 0.180
0.000 0.626 0.018
0.500 0.374 0.518
```

***

(5)
Below is a relaxed structure of Tb2NdMg3, with properties calculated at the PBE-GGA level.

Fermi-level density of states (states/eV per cell): 7.4
DFT formation energy (eV/atom): -0.09
Mass density (g cm⁻³): 5.3

Cell and atoms, written as POSCAR:
```
Tb2NdMg3
1.0
3.824 0.000 0.000
0.000 3.824 0.000
0.000 0.000 11.507
Tb Nd Mg
2 1 3
direct
0.000 0.000 0.163
0.000 0.000 0.837
0.000 0.000 0.500
0.500 0.500 0.000
0.500 0.500 0.326
0.500 0.500 0.674
```

***

(6)
Below is a relaxed structure of Tb8NdMg6, with properties calculated at the PBE-GGA level.

Fermi-level density of states (states/eV per cell): 21.9
DFT formation energy (eV/atom): 0.19
Mass density (g cm⁻³): 5.5

Cell and atoms, written as POSCAR:
```
Tb8NdMg6
1.0
4.579 2.644 6.477
-4.579 2.644 6.477
0.000 -5.288 6.477
Tb Nd Mg
8 1 6
direct
0.049 0.382 0.716
0.166 0.166 0.166
0.284 0.951 0.618
0.382 0.716 0.049
0.618 0.284 0.951
0.716 0.049 0.382
0.834 0.834 0.834
0.951 0.618 0.284
0.500 0.500 0.500
0.116 0.787 0.453
0.213 0.547 0.884
0.453 0.116 0.787
0.547 0.884 0.213
0.787 0.453 0.116
0.884 0.213 0.547
```

***

(7)
Below is a relaxed structure of TbNd6Mg2, with properties calculated at the PBE-GGA level.

Fermi-level density of states (states/eV per cell): 23.0
DFT formation energy (eV/atom): 0.09
ΔE to the lowest computed polymorph (eV/atom): 0.0312
Mass density (g cm⁻³): 6.0

Cell and atoms, written as POSCAR:
```
TbNd6Mg2
1.0
9.649 -5.915 0.000
9.649 5.915 0.000
-0.004 0.000 5.197
Tb Nd Mg
2 12 4
direct
0.246 0.754 0.750
0.754 0.246 0.250
0.000 0.173 0.750
0.000 0.827 0.250
0.017 0.613 0.749
0.173 0.000 0.250
0.291 0.511 0.250
0.387 0.983 0.751
0.489 0.709 0.250
0.511 0.291 0.750
0.613 0.017 0.249
0.709 0.489 0.750
0.827 0.000 0.750
0.983 0.387 0.251
0.208 0.311 0.751
0.311 0.208 0.251
0.689 0.792 0.749
0.792 0.689 0.249
```

***

(8)
Below is a relaxed structure of TbNd3Mg, with properties calculated at the PBE-GGA level.

Fermi-level density of states (states/eV per cell): 13.8
DFT formation energy (eV/atom): 0.10
ΔE to the lowest computed polymorph (eV/atom): 0.0000
Mass density (g cm⁻³): 6.2

Cell and atoms, written as POSCAR:
```
TbNd3Mg
1.0
10.572 -1.829 0.000
10.572 1.829 0.000
-2.981 0.000 8.555
Tb Nd Mg
2 6 2
direct
0.133 0.133 0.180
0.867 0.867 0.820
0.193 0.193 0.855
0.305 0.305 0.456
0.470 0.470 0.179
0.530 0.530 0.821
0.695 0.695 0.544
0.807 0.807 0.145
0.067 0.067 0.508
0.933 0.933 0.492
```

***

(9)
Below is a relaxed structure of Tb6NdMg2, with properties calculated at the PBE-GGA level.

Fermi-level density of states (states/eV per cell): 11.7
DFT formation energy (eV/atom): 0.42
Mass density (g cm⁻³): 6.6

Cell and atoms, written as POSCAR:
```
Tb6NdMg2
1.0
3.611 2.085 6.393
-3.611 2.085 6.393
0.000 -4.170 6.393
Tb Nd Mg
6 1 2
direct
0.170 0.170 0.660
0.170 0.660 0.170
0.384 0.384 0.827
0.384 0.827 0.384
0.660 0.170 0.170
0.827 0.384 0.384
0.113 0.113 0.113
0.680 0.680 0.680
0.857 0.857 0.857
```

***

(10)
Below is a relaxed structure of TbNd2Mg, with properties calculated at the PBE-GGA level.

Fermi-level density of states (states/eV per cell): 14.6
DFT formation energy (eV/atom): 0.04
ΔE to the lowest computed polymorph (eV/atom): 0.0716
Mass density (g cm⁻³): 6.1

Cell and atoms, written as POSCAR:
```
TbNd2Mg
1.0
3.580 0.000 0.000
-1.790 3.100 0.000
0.000 0.000 34.634
Tb Nd Mg
3 6 3
direct
0.000 0.000 0.000
0.333 0.667 0.667
0.667 0.333 0.333
0.000 0.000 0.419
0.000 0.000 0.582
0.333 0.667 0.085
0.333 0.667 0.249
0.667 0.333 0.752
0.667 0.333 0.916
0.000 0.000 0.167
0.333 0.667 0.834
0.667 0.333 0.500
```

***

(11)
Below is a relaxed structure of Tb2Nd9Mg, with properties calculated at the PBE-GGA level.

Fermi-level density of states (states/eV per cell): 17.0
DFT formation energy (eV/atom): 0.01
Mass density (g cm⁻³): 6.7

Cell and atoms, written as POSCAR:
```
Tb2Nd9Mg
1.0
5.112 0.000 0.000
0.000 5.112 0.000
0.000 0.000 15.460
Tb Nd Mg
2 9 1
direct
0.000 0.000 0.169
0.000 0.000 0.831
0.000 0.500 0.000
0.000 0.500 0.336
0.000 0.500 0.664
0.500 0.000 0.000
0.500 0.000 0.336
0.500 0.000 0.664
0.500 0.500 0.170
0.500 0.500 0.500
0.500 0.500 0.830
0.000 0.000 0.500
```

***

(12)
Below is a relaxed structure of Tb7Nd12Mg, with properties calculated at the PBE-GGA level.

Fermi-level density of states (states/eV per cell): 26.2
DFT formation energy (eV/atom): 0.66
ΔE to the lowest computed polymorph (eV/atom): 0.5268
Mass density (g cm⁻³): 6.1

Cell and atoms, written as POSCAR:
```
Tb7Nd12Mg
1.0
-5.796 5.796 5.796
5.796 -5.796 5.796
5.796 5.796 -5.796
Tb Nd Mg
7 12 1
direct
0.000 0.000 0.500
0.000 0.500 0.000
0.000 0.500 0.500
0.500 0.000 0.000
0.500 0.000 0.500
0.500 0.500 0.000
0.500 0.500 0.500
0.000 0.247 0.753
0.000 0.753 0.247
0.247 0.000 0.753
0.247 0.247 0.494
0.247 0.494 0.247
0.247 0.753 0.000
0.494 0.247 0.247
0.506 0.753 0.753
0.753 0.000 0.247
0.753 0.247 0.000
0.753 0.506 0.753
0.753 0.753 0.506
0.000 0.000 0.000
```

***

(13)
Below is a relaxed structure of TbNd7Mg4, with properties calculated at the PBE-GGA level.

Fermi-level density of states (states/eV per cell): 14.3
DFT formation energy (eV/atom): 0.12
Mass density (g cm⁻³): 5.5

Cell and atoms, written as POSCAR:
```
TbNd7Mg4
1.0
7.735 -2.937 0.000
7.735 2.937 0.000
-5.111 0.000 8.429
Tb Nd Mg
1 7 4
direct
0.000 0.000 0.000
0.082 0.082 0.426
0.197 0.197 0.878
0.253 0.253 0.288
0.500 0.500 0.000
0.747 0.747 0.712
0.803 0.803 0.122
0.918 0.918 0.574
0.325 0.325 0.655
0.462 0.462 0.306
0.538 0.538 0.694
0.675 0.675 0.345
```

***

(14)
Below is a relaxed structure of TbNd2Mg2, with properties calculated at the PBE-GGA level.

Fermi-level density of states (states/eV per cell): 14.0
DFT formation energy (eV/atom): 0.04
ΔE to the lowest computed polymorph (eV/atom): 0.1072
Mass density (g cm⁻³): 5.3

Cell and atoms, written as POSCAR:
```
TbNd2Mg2
1.0
5.261 0.000 0.000
0.000 7.109 0.000
0.000 0.000 8.246
Tb Nd Mg
2 4 4
direct
0.000 0.000 0.000
0.500 0.500 0.500
0.000 0.500 0.195
0.000 0.500 0.805
0.500 0.000 0.305
0.500 0.000 0.695
0.000 0.208 0.500
0.000 0.792 0.500
0.500 0.292 0.000
0.500 0.708 0.000
```

***

(15)
Below is a relaxed structure of Tb3NdMg2, with properties calculated at the PBE-GGA level.

Fermi-level density of states (states/eV per cell): 7.7
DFT formation energy (eV/atom): -0.05
Mass density (g cm⁻³): 6.3

Cell and atoms, written as POSCAR:
```
Tb3NdMg2
1.0
3.711 0.000 0.000
0.000 3.711 0.000
0.000 0.000 12.888
Tb Nd Mg
3 1 2
direct
0.000 0.000 0.000
0.000 0.000 0.305
0.000 0.000 0.695
0.500 0.500 0.500
0.500 0.500 0.151
0.500 0.500 0.849
```

***

(16)
Below is a relaxed structure of TbNd3Mg3, with properties calculated at the PBE-GGA level.

Fermi-level density of states (states/eV per cell): 12.2
DFT formation energy (eV/atom): 0.07
ΔE to the lowest computed polymorph (eV/atom): 0.0000
Mass density (g cm⁻³): 5.0

Cell and atoms, written as POSCAR:
```
TbNd3Mg3
1.0
5.417 -5.706 0.000
5.417 5.706 0.000
0.000 0.000 7.092
Tb Nd Mg
2 6 6
direct
0.186 0.186 0.000
0.814 0.814 0.000
0.000 0.500 0.254
0.000 0.500 0.746
0.500 0.000 0.254
0.500 0.000 0.746
0.500 0.500 0.247
0.500 0.500 0.753
0.173 0.827 0.500
0.223 0.223 0.500
0.244 0.756 0.000
0.756 0.244 0.000
0.777 0.777 0.500
0.827 0.173 0.500
```

***

(17)
Below is a relaxed structure of TbNd2Mg2, with properties calculated at the PBE-GGA level.

Fermi-level density of states (states/eV per cell): 10.8
DFT formation energy (eV/atom): -0.07
ΔE to the lowest computed polymorph (eV/atom): 0.0000
Mass density (g cm⁻³): 5.5

Cell and atoms, written as POSCAR:
```
TbNd2Mg2
1.0
3.839 0.000 0.000
0.000 5.510 0.000
-1.929 0.000 14.166
Tb Nd Mg
2 4 4
direct
0.150 0.250 0.299
0.850 0.750 0.701
0.045 0.750 0.090
0.236 0.750 0.474
0.764 0.250 0.526
0.955 0.250 0.910
0.360 0.250 0.720
0.446 0.750 0.892
0.554 0.250 0.108
0.640 0.750 0.280
```

***

(18)
Below is a relaxed structure of Tb2NdMg4, with properties calculated at the PBE-GGA level.

Fermi-level density of states (states/eV per cell): 12.2
DFT formation energy (eV/atom): 0.13
ΔE to the lowest computed polymorph (eV/atom): 0.0000
Mass density (g cm⁻³): 4.3

Cell and atoms, written as POSCAR:
```
Tb2NdMg4
1.0
5.385 0.000 0.000
0.000 5.385 0.000
0.000 0.000 14.791
Tb Nd Mg
4 2 8
direct
0.000 0.000 0.249
0.000 0.000 0.751
0.500 0.500 0.251
0.500 0.500 0.749
0.000 0.000 0.500
0.500 0.500 0.000
0.000 0.500 0.120
0.000 0.500 0.380
0.000 0.500 0.620
0.000 0.500 0.880
0.500 0.000 0.120
0.500 0.000 0.380
0.500 0.000 0.620
0.500 0.000 0.880
```

***

(19)
Below is a relaxed structure of Tb15Nd4Mg, with properties calculated at the PBE-GGA level.

Fermi-level density of states (states/eV per cell): 27.3
DFT formation energy (eV/atom): 0.02
Mass density (g cm⁻³): 7.7

Cell and atoms, written as POSCAR:
```
Tb15Nd4Mg
1.0
5.049 0.000 0.000
0.000 5.049 0.000
0.000 0.000 25.260
Tb Nd Mg
15 4 1
direct
0.000 0.000 0.000
0.000 0.000 0.195
0.000 0.000 0.399
0.000 0.000 0.601
0.000 0.000 0.805
0.000 0.500 0.097
0.000 0.500 0.298
0.000 0.500 0.500
0.000 0.500 0.702
0.000 0.500 0.903
0.500 0.000 0.097
0.500 0.000 0.298
0.500 0.000 0.500
0.500 0.000 0.702
0.500 0.000 0.903
0.500 0.500 0.197
0.500 0.500 0.399
0.500 0.500 0.601
0.500 0.500 0.803
0.500 0.500 0.000
```

***

(20)
Below is a relaxed structure of Tb3Nd4Mg, with properties calculated at the PBE-GGA level.

Fermi-level density of states (states/eV per cell): 10.2
DFT formation energy (eV/atom): -0.01
ΔE to the lowest computed polymorph (eV/atom): 0.0000
Mass density (g cm⁻³): 6.8

Cell and atoms, written as POSCAR:
```
Tb3Nd4Mg
1.0
3.650 0.000 0.000
0.000 3.650 0.000
0.000 0.000 19.625
Tb Nd Mg
3 4 1
direct
0.000 0.000 0.000
0.000 0.000 0.259
0.000 0.000 0.741
0.500 0.500 0.129
0.500 0.500 0.387
0.500 0.500 0.613
0.500 0.500 0.871
0.000 0.000 0.500
```